A plane-wave DFT calculation with PBE was carried out for LaIn2 after structural relaxation.

Properties
The calculated formation energy is 0.189 eV per atom.

abc: 7.621 7.621 7.621
angles: 90.00 90.00 90.00
Atoms (fractional coordinates):
In 0.109 0.609 0.109
In 0.109 0.891 0.609
In 0.391 0.109 0.109
In 0.891 0.391 0.891
In 0.391 0.391 0.609
In 0.891 0.109 0.391
In 0.609 0.609 0.391
In 0.609 0.891 0.891
La 0.000 0.500 0.500
La 0.000 0.000 0.000
La 0.500 0.500 0.000
La 0.500 0.000 0.500


A plane-wave DFT calculation with PBE was carried out for La5In after structural relaxation.

Properties
The excess energy over the best structure of this formula in the dataset is 0.293 eV/atom. The calculated formation energy is 0.120 eV per atom.

abc: 6.668 6.668 6.668
angles: 60.00 60.00 60.00
Atoms (fractional coordinates):
La 0.123 0.626 0.626
La 0.626 0.123 0.626
La 0.250 0.250 0.250
La 0.626 0.626 0.626
La 0.626 0.626 0.123
In 0.000 0.000 0.000


A plane-wave DFT calculation with PBE was carried out for LaIn2 after structural relaxation.

Properties
The calculated formation energy is -0.194 eV per atom.

abc: 6.734 6.734 6.734
angles: 126.14 126.14 79.66
Atoms (fractional coordinates):
La 0.750 0.750 0.000
La 0.250 0.250 0.000
In 0.682 0.818 0.500
In 0.318 0.182 0.500
In 0.818 0.318 0.135
In 0.182 0.682 0.865


A plane-wave DFT calculation with PBE was carried out for La5In after structural relaxation.

Properties
The excess energy over the best structure of this formula in the dataset is 0.000 eV/atom. The calculated formation energy is -0.174 eV per atom.

abc: 8.280 8.280 5.126
angles: 90.00 90.00 144.70
Atoms (fractional coordinates):
La 0.638 0.362 0.000
La 0.131 0.869 0.500
La 0.813 0.187 0.500
La 0.472 0.528 0.500
La 0.306 0.694 0.000
In 0.972 0.028 0.000


A plane-wave DFT calculation with PBE was carried out for La4In after structural relaxation.

Properties
The excess energy over the best structure of this formula in the dataset is 0.416 eV/atom. The calculated formation energy is 0.175 eV per atom.

abc: 10.008 10.008 10.008
angles: 154.60 154.60 36.23
Atoms (fractional coordinates):
La 0.750 0.250 0.500
La 0.580 0.580 0.000
La 0.420 0.420 0.000
La 0.250 0.750 0.500
In 0.000 0.000 0.000


A plane-wave DFT calculation with PBE was carried out for La7In after structural relaxation.

Properties
The calculated formation energy is -0.121 eV per atom.

abc: 7.272 7.272 7.272
angles: 60.00 60.00 60.00
Atoms (fractional coordinates):
In 0.000 0.000 0.000
La 0.500 0.500 0.000
La 0.500 0.000 0.000
La 0.000 0.500 0.000
La 0.000 0.000 0.500
La 0.000 0.500 0.500
La 0.500 0.500 0.500
La 0.500 0.000 0.500


A plane-wave DFT calculation with PBE was carried out for La4In3 after structural relaxation.

Properties
The calculated formation energy is -0.431 eV per atom.

abc: 6.898 8.870 8.870
angles: 113.53 105.02 105.02
Atoms (fractional coordinates):
In 0.902 0.410 0.116
In 0.098 0.590 0.884
In 0.509 0.294 0.410
In 0.214 0.116 0.706
In 0.786 0.884 0.294
In 0.491 0.706 0.590
La 0.591 0.550 0.870
La 0.721 0.130 0.680
La 0.000 0.000 0.000
La 0.041 0.320 0.450
La 0.500 0.000 0.000
La 0.959 0.680 0.550
La 0.279 0.870 0.320
La 0.409 0.450 0.130


A plane-wave DFT calculation with PBE was carried out for La7In2 after structural relaxation.

Properties
The calculated formation energy is -0.194 eV per atom.

abc: 5.695 5.695 10.885
angles: 90.00 90.00 120.00
Atoms (fractional coordinates):
La 0.000 0.000 0.339
La 0.667 0.333 0.482
La 0.667 0.333 0.832
La 0.333 0.667 0.518
La 0.333 0.667 0.168
La 0.000 0.000 0.000
La 0.000 0.000 0.661
In 0.667 0.333 0.154
In 0.333 0.667 0.846